Record 1
## RbBa2ScO4 (GGA-PBE)

Data for an optimized crystal structure of RbBa2ScO4.

The structure in POSCAR format:
```
RbBa2ScO4
1.0
-4.393 -3.444 -5.187
6.483 -1.947 -3.501
-0.849 -1.773 7.051
O Ba Rb Sc
8 4 2 2
Cartesian
-3.256 -4.845 2.195
4.497 -2.319 -3.832
2.639 -3.403 -0.529
1.177 -4.949 -2.855
0.785 -5.784 0.415
0.064 -2.216 1.218
0.456 -1.380 -2.052
-1.399 -3.761 -1.108
-2.621 -2.609 0.932
1.045 -2.696 -4.344
-0.425 -0.887 3.525
-2.197 -1.722 -2.594
-1.576 -5.304 -3.412
3.241 -0.973 -1.750
0.620 -3.582 -0.819
-5.242 -5.218 1.863
```

Summary:
Formation energy from raw total energies   -2.2936 eV/atom
Magnetic moment   0.00 μB/f.u.

Record 2
## PmLuPd (GGA-PBE)

Data for an optimized crystal structure of PmLuPd.

The structure in POSCAR format:
```
PmLuPd
1.0
-3.179 -2.259 -0.556
0.394 -1.647 4.437
-2.602 3.876 -0.872
Pd Pm Lu
1 1 1
Cartesian
-2.886 1.124 0.673
-0.123 -0.087 -0.021
-2.379 -1.066 2.357
```

Summary:
Magnetic moment   0.00 μB/f.u.
Energy of formation   -413 meV/atom

Record 3
## Cd3In2Ga (GGA-PBE)

Data for an optimized crystal structure of Cd3In2Ga.

The structure in POSCAR format:
```
Cd3In2Ga
1.0
-5.797 2.096 -0.805
-5.467 -5.349 1.438
-5.108 -2.127 7.240
In Cd Ga
4 6 2
Cartesian
-12.652 -4.556 7.174
-7.349 -0.824 2.837
-9.022 -4.557 5.035
-3.719 -0.824 0.698
-6.499 0.476 0.133
-6.750 -2.371 5.574
-4.562 -2.127 3.404
-9.622 -3.009 2.299
-11.809 -3.253 4.469
-9.872 -5.857 7.740
-6.850 -4.011 2.684
-9.521 -1.369 5.188
```

Summary:
Magnetic moment   0.00 μB/f.u.
Energy of formation   38 meV/atom

Record 4
## Sc3SiBi (GGA-PBE)

Data for an optimized crystal structure of Sc3SiBi.

The structure in POSCAR format:
```
Sc3SiBi
1.0
-3.728 -3.333 -0.298
1.541 -1.314 -4.582
2.970 -3.501 2.003
Bi Si Sc
1 1 3
Cartesian
0.392 -4.074 -1.438
0.000 0.000 0.000
0.770 -0.657 -2.291
-1.864 -1.666 -0.149
1.485 -1.751 1.001
```

Summary:
Formation energy from raw total energies   -0.3920 eV/atom
Magnetic moment   0.00 μB/f.u.

Record 5
## KInSn2 (GGA-PBE)

Data for an optimized crystal structure of KInSn2.

The structure in POSCAR format:
```
KInSn2
1.0
4.013 0.000 0.000
0.000 4.013 0.000
0.000 0.000 7.837
Sn In K
2 1 1
Cartesian
0.000 0.000 6.353
0.000 0.000 1.484
2.007 2.007 0.000
2.007 2.007 3.919
```

Summary:
Magnetic moment   0.00 μB/f.u.
Energy of formation   -129 meV/atom

Record 6
## NbSnTe2Se (GGA-PBE)

Data for an optimized crystal structure of NbSnTe2Se.

The structure in POSCAR format:
```
NbSnTe2Se
1.0
-0.406 1.932 5.017
-1.207 -4.893 1.787
5.237 -0.997 0.808
Nb Te Sn Se
1 2 1 1
Cartesian
1.812 -1.979 3.806
2.618 -0.499 0.404
-0.203 0.966 2.509
-0.604 -2.446 0.893
0.000 0.000 0.000
```

Summary:
Formation energy from raw total energies   0.9539 eV/atom
Magnetic moment   3.00 μB/f.u.

Record 7
## NbMo2Se6 (GGA-PBE)

Data for an optimized crystal structure of NbMo2Se6.

The structure in POSCAR format:
```
NbMo2Se6
1.0
-0.448 2.067 -2.617
5.931 -3.766 -3.991
-7.727 -4.217 0.156
Se Mo Nb
6 2 1
Cartesian
-3.602 -4.909 -5.424
-2.226 -0.420 -2.114
-0.019 -5.496 -4.338
0.628 -2.247 -4.045
1.357 -1.006 -1.027
-2.873 -3.669 -2.406
-0.699 -2.548 -1.893
-1.546 -3.368 -4.559
-0.224 1.033 -1.308
```

Summary:
Formation energy from raw total energies   -0.6186 eV/atom
Magnetic moment   0.00 μB/f.u.

Record 8
## Sm2MnIn (GGA-PBE)

Data for an optimized crystal structure of Sm2MnIn.

The structure in POSCAR format:
```
Sm2MnIn
1.0
3.669 0.000 0.000
0.000 3.669 0.000
0.000 0.000 7.776
In Mn Sm
1 1 2
Cartesian
1.834 1.834 3.888
1.834 1.834 0.000
0.000 0.000 1.796
0.000 0.000 5.981
```

Summary:
Magnetic moment   3.12 μB/f.u.
Energy of formation   -108 meV/atom

Record 9
## Sn2BiAu8 (GGA-PBE)

Data for an optimized crystal structure of Sn2BiAu8.

The structure in POSCAR format:
```
Sn2BiAu8
1.0
3.694 0.000 -1.062
-0.967 8.696 -3.365
0.190 -0.701 7.617
Au Sn Bi
8 2 1
Cartesian
2.615 5.759 2.143
-0.475 7.069 -1.652
3.392 0.927 4.843
1.963 7.308 -0.127
0.954 0.688 3.317
1.653 3.467 -1.206
0.301 2.237 1.048
1.264 4.528 4.397
0.169 5.177 0.588
2.748 2.819 2.603
1.847 0.000 -0.531
```

Summary:
Magnetic moment   0.00 μB/f.u.
Energy of formation   -19 meV/atom

Record 10
## Li3Tb4NpS8 (GGA-PBE)

Data for an optimized crystal structure of Li3Tb4NpS8.

The structure in POSCAR format:
```
Li3Tb4NpS8
1.0
7.813 0.000 0.000
0.000 7.762 -0.040
-3.906 -3.903 5.527
Tb S Li Np
4 8 3 1
Cartesian
1.953 -1.952 2.763
0.000 0.000 0.000
-1.953 -1.952 2.763
3.906 0.000 0.000
0.000 0.001 2.761
0.000 3.832 2.738
3.906 0.026 2.749
1.975 1.956 0.016
5.837 1.956 0.016
-1.931 1.903 5.471
3.906 3.858 2.725
1.931 1.903 5.470
1.953 1.929 2.743
3.906 3.881 -0.020
-1.953 1.929 2.743
0.000 3.881 -0.020
```

Summary:
Formation energy from raw total energies   -1.7789 eV/atom
Magnetic moment   4.74 μB/f.u.

Record 11
## LaIr2Pb2 (GGA-PBE)

Data for an optimized crystal structure of LaIr2Pb2.

The structure in POSCAR format:
```
LaIr2Pb2
1.0
7.413 0.000 0.000
0.000 7.413 0.000
0.000 0.000 4.289
Pb La Ir
4 2 4
Cartesian
4.939 6.180 2.144
6.180 2.474 2.144
2.474 1.233 2.144
1.233 4.939 2.144
0.000 0.000 0.000
3.706 3.706 0.000
2.778 6.484 0.000
0.929 2.778 0.000
4.635 0.929 0.000
6.484 4.635 0.000
```

Summary:
Magnetic moment   0.00 μB/f.u.
Energy of formation   -19 meV/atom

Record 12
## Sr3ZrTl (GGA-PBE)

Data for an optimized crystal structure of Sr3ZrTl.

The structure in POSCAR format:
```
Sr3ZrTl
1.0
6.078 0.000 0.000
0.000 6.078 0.000
0.000 0.000 6.078
Tl Sr Zr
1 3 1
Cartesian
3.039 3.039 3.039
0.000 3.039 0.000
3.039 0.000 0.000
0.000 0.000 3.039
0.000 0.000 0.000
```

Summary:
Magnetic moment   0.00 μB/f.u.
Energy of formation   742 meV/atom

What is the magnetic moment in the third record?
0.00 μB/f.u.